(1)
The following is a DFT calculation (SCAN) of a crystal of RbCu2I3 relaxed with PBEsol.

The structure in POSCAR format:
```
RbCu2I3
1.0
5.513 -6.741 0.000
5.513 6.741 0.000
0.000 0.000 5.245
Rb Cu I
2 4 6
direct
0.194 0.806 0.750
0.806 0.194 0.250
0.337 0.337 0.000
0.337 0.337 0.500
0.663 0.663 0.000
0.663 0.663 0.500
0.085 0.344 0.750
0.344 0.085 0.250
0.390 0.610 0.250
0.610 0.390 0.750
0.656 0.915 0.750
0.915 0.656 0.250
```

formation energy without anion corrections = -0.6406 eV/atom
total DFT energy (no corrections) = -330.4 eV for the cell shown
volume = 389.8 Å³/cell

---

(2)
The following is a DFT calculation (SCAN) of a crystal of HgPPb2 relaxed with PBEsol.

The structure in POSCAR format:
```
HgPPb2
1.0
3.964 0.000 0.000
0.000 4.911 0.000
-0.020 0.000 5.178
Hg P Pb
1 1 2
direct
0.000 0.000 0.000
0.960 0.500 0.607
0.480 0.500 0.001
0.529 0.000 0.490
```

ΔE to the lowest computed polymorph = 3.68 kcal/mol of atoms
total DFT energy (no corrections) = -229.3 eV for the cell shown
formation enthalpy at 0 K = 0.21 eV per atom
volume = 100.8 Å³/cell